! Pm2TeBr3 PBE optimized geometry; values from VASP
&SYSTEM
  ibrav = 0, nat = 12, ntyp = 3
/
ATOMIC_SPECIES
Br 79.90 Br.upf
Pm 145.00 Pm.upf
Te 127.60 Te.upf
CELL_PARAMETERS angstrom
4.355 0.000 0.000
2.177 9.025 -0.651
2.177 1.683 10.807
ATOMIC_POSITIONS angstrom
Br 6.532 8.083 2.272
Br 2.177 2.528 0.041
Br 6.532 8.180 10.115
Br 2.177 1.760 4.215
Br 2.177 2.625 7.883
Br 6.532 8.948 5.941
Pm 4.355 7.703 4.315
Pm 4.355 3.004 5.841
Pm 2.177 5.329 1.027
Pm 6.532 5.379 9.129
Te 4.355 4.780 3.208
Te 4.355 5.928 6.947
! Fermi-level density of states = 0.363 states/eV per atom
! formation energy (no corrections) = -1.61 eV/atom
! total DFT energy (no corrections) = -4.556 eV/atom



! ReGePt2 PBE optimized geometry; values from VASP
&SYSTEM
  ibrav = 0, nat = 8, ntyp = 3
/
ATOMIC_SPECIES
Pt 195.08 Pt.upf
Re 186.21 Re.upf
Ge 72.64 Ge.upf
CELL_PARAMETERS angstrom
4.782 0.000 0.000
0.000 4.782 0.000
2.391 2.391 7.150
ATOMIC_POSITIONS angstrom
Pt 5.977 5.935 5.362
Pt 1.238 3.586 1.787
Pt 3.544 1.195 1.787
Pt 3.586 3.629 5.362
Re 0.000 0.000 0.000
Re 4.782 2.391 3.575
Ge 2.391 4.782 3.575
Ge 2.391 2.391 0.000
! Fermi-level density of states = 0.767 states/eV per atom
! ΔH_f (0 K) = 544.1 meV/atom
! total DFT energy (no corrections) = -6.743 eV/atom



! Pm4Zn3Ga PBE optimized geometry; values from VASP
&SYSTEM
  ibrav = 0, nat = 8, ntyp = 3
/
ATOMIC_SPECIES
Zn 65.41 Zn.upf
Pm 145.00 Pm.upf
Ga 69.72 Ga.upf
CELL_PARAMETERS angstrom
-3.160 0.458 1.854
-2.221 -2.297 -3.218
1.982 -10.175 5.893
ATOMIC_POSITIONS angstrom
Zn 0.862 -4.426 2.564
Zn 0.272 -9.275 6.432
Zn 0.009 -6.894 1.719
Pm -0.289 -6.396 4.765
Pm 0.569 -9.768 3.384
Pm -1.999 -4.467 1.373
Pm 0.300 -1.541 0.893
Ga -2.556 -1.608 -0.284
! Fermi-level density of states = 0.834 states/eV per atom
! ΔH_f (0 K) = -344.9 meV/atom
! total DFT energy (no corrections) = -3.576 eV/atom